Entry 1:
First-principles (PBE) data for crystalline YPu2TaN4 at its relaxed geometry, as listed in Alexandria via LeMat-Bulk.

```
data_YPu2TaN4
_symmetry_space_group_name_H-M 'P 1 2/m 1'
_symmetry_Int_Tables_number 10
_symmetry_space_group_name_Hall '-P 2y'
_cell_length_a 5.8470
_cell_length_b 3.3554
_cell_length_c 5.8521
_cell_angle_alpha 90.00
_cell_angle_beta 109.09
_cell_angle_gamma 90.00
loop_
_atom_site_label
_atom_site_fract_x
_atom_site_fract_y
_atom_site_fract_z
_atom_site_occupancy
Y1 0.0000 0.0000 0.0000 1
Pu1 0.5000 0.0000 0.5000 1
Pu2 0.5000 0.5000 0.0000 1
Ta1 0.0000 0.5000 0.5000 1
N1 0.2260 0.0000 0.7223 1
N2 0.2365 0.5000 0.2704 1
```

ρ (g cm⁻³): 12.456
Raw formation energy (eV/f.u.): -10.68
Raw total energy (eV per atom): -11.37

Entry 2:
First-principles (PBE) data for crystalline Na4TlIn3O8 at its relaxed geometry, as listed in Alexandria via LeMat-Bulk.

```
data_Na4TlIn3O8
_symmetry_space_group_name_H-M 'R -3 m'
_symmetry_Int_Tables_number 166
_symmetry_space_group_name_Hall '-R 3 2"'
_cell_length_a 6.6344
_cell_length_b 6.6344
_cell_length_c 16.6530
_cell_angle_alpha 90.00
_cell_angle_beta 90.00
_cell_angle_gamma 120.00
loop_
_atom_site_label
_atom_site_fract_x
_atom_site_fract_y
_atom_site_fract_z
_atom_site_occupancy
Na1 0.0000 0.0000 0.0000 1
Na2 0.0000 0.5000 0.0000 1
Tl1 0.0000 0.0000 0.5000 1
In1 0.0000 0.5000 0.5000 1
O1 0.0000 0.0000 0.2379 1
O2 0.0101 0.5050 0.7608 1
```

ρ (g cm⁻³): 6.033
Raw formation energy (eV/f.u.): -23.91
Raw total energy (eV per atom): -4.96

Entry 3:
First-principles (PBE) data for crystalline MnVCoTc at its relaxed geometry, as listed in Alexandria via LeMat-Bulk.

```
data_MnVCoTc
_symmetry_space_group_name_H-M 'F -4 3 m'
_symmetry_Int_Tables_number 216
_symmetry_space_group_name_Hall 'F -4 2 3'
_cell_length_a 5.8823
_cell_length_b 5.8823
_cell_length_c 5.8823
_cell_angle_alpha 90.00
_cell_angle_beta 90.00
_cell_angle_gamma 90.00
loop_
_atom_site_label
_atom_site_fract_x
_atom_site_fract_y
_atom_site_fract_z
_atom_site_occupancy
Mn1 0.0000 0.0000 0.0000 1
V1 0.0000 0.0000 0.5000 1
Co1 0.2500 0.2500 0.7500 1
Tc1 0.2500 0.2500 0.2500 1
```

ρ (g cm⁻³): 8.577
E_form (meV/atom): -86
Raw total energy (eV per atom): -9.03

Entry 4:
First-principles (PBE) data for crystalline TlAs2Cl at its relaxed geometry, as listed in Alexandria via LeMat-Bulk.

```
data_TlAs2Cl
_symmetry_space_group_name_H-M 'I -4 m 2'
_symmetry_Int_Tables_number 119
_symmetry_space_group_name_Hall 'I -4 -2'
_cell_length_a 5.0530
_cell_length_b 5.0530
_cell_length_c 7.1353
_cell_angle_alpha 90.00
_cell_angle_beta 90.00
_cell_angle_gamma 90.00
loop_
_atom_site_label
_atom_site_fract_x
_atom_site_fract_y
_atom_site_fract_z
_atom_site_occupancy
Tl1 0.0000 0.0000 0.0000 1
As1 0.0000 0.0000 0.5000 1
As2 0.0000 0.5000 0.7500 1
Cl1 0.0000 0.5000 0.2500 1
```

ρ (g cm⁻³): 7.103
Raw formation energy (eV/f.u.): 0.60
Raw total energy (eV per atom): -3.23
Energy relative to the lowest polymorph listed for this composition (eV/atom): 0.514

Entry 5:
First-principles (PBE) data for crystalline CuPbCl5 at its relaxed geometry, as listed in Alexandria via LeMat-Bulk.

```
data_CuPbCl5
_symmetry_space_group_name_H-M 'C 1 2/c 1'
_symmetry_Int_Tables_number 15
_symmetry_space_group_name_Hall '-C 2yc'
_cell_length_a 11.0815
_cell_length_b 7.3771
_cell_length_c 11.0211
_cell_angle_alpha 90.00
_cell_angle_beta 111.02
_cell_angle_gamma 90.00
loop_
_atom_site_label
_atom_site_fract_x
_atom_site_fract_y
_atom_site_fract_z
_atom_site_occupancy
Cu1 0.2500 0.2500 0.0000 1
Pb1 0.0000 0.0943 0.2500 1
Cl1 0.0000 0.2551 0.7500 1
Cl2 0.1382 0.3106 0.1260 1
Cl3 0.2080 0.0424 0.5040 1
```

ρ (g cm⁻³): 3.538
Raw formation energy (eV/f.u.): -4.42
Raw total energy (eV per atom): -3.07

Entry 6:
First-principles (PBE) data for crystalline HoCdGaCu at its relaxed geometry, as listed in Alexandria via LeMat-Bulk.

```
data_HoCdGaCu
_symmetry_space_group_name_H-M 'F -4 3 m'
_symmetry_Int_Tables_number 216
_symmetry_space_group_name_Hall 'F -4 2 3'
_cell_length_a 6.7427
_cell_length_b 6.7427
_cell_length_c 6.7427
_cell_angle_alpha 90.00
_cell_angle_beta 90.00
_cell_angle_gamma 90.00
loop_
_atom_site_label
_atom_site_fract_x
_atom_site_fract_y
_atom_site_fract_z
_atom_site_occupancy
Ho1 0.0000 0.0000 0.0000 1
Cd1 0.0000 0.0000 0.5000 1
Ga1 0.2500 0.2500 0.7500 1
Cu1 0.2500 0.2500 0.2500 1
```

ρ (g cm⁻³): 8.897
E_form (meV/atom): -296
Raw total energy (eV per atom): -3.45

Entry 7:
First-principles (PBE) data for crystalline NaTlIn2 at its relaxed geometry, as listed in Alexandria via LeMat-Bulk.

```
data_NaTlIn2
_symmetry_space_group_name_H-M 'P 4/m m m'
_symmetry_Int_Tables_number 123
_symmetry_space_group_name_Hall '-P 4 2'
_cell_length_a 4.7300
_cell_length_b 4.7300
_cell_length_c 4.8693
_cell_angle_alpha 90.00
_cell_angle_beta 90.00
_cell_angle_gamma 90.00
loop_
_atom_site_label
_atom_site_fract_x
_atom_site_fract_y
_atom_site_fract_z
_atom_site_occupancy
Na1 0.0000 0.0000 0.0000 1
Tl1 0.5000 0.5000 0.0000 1
In1 0.0000 0.5000 0.5000 1
```

ρ (g cm⁻³): 6.966
E_form (meV/atom): -68
Raw total energy (eV per atom): -2.36
Energy relative to the lowest polymorph listed for this composition (eV/atom): 0.005

Entry 8:
First-principles (PBE) data for crystalline Si2Tc at its relaxed geometry, as listed in Alexandria via LeMat-Bulk.

```
data_Si2Tc
_symmetry_space_group_name_H-M 'F m -3 m'
_symmetry_Int_Tables_number 225
_symmetry_space_group_name_Hall '-F 4 2 3'
_cell_length_a 5.7346
_cell_length_b 5.7346
_cell_length_c 5.7346
_cell_angle_alpha 90.00
_cell_angle_beta 90.00
_cell_angle_gamma 90.00
loop_
_atom_site_label
_atom_site_fract_x
_atom_site_fract_y
_atom_site_fract_z
_atom_site_occupancy
Si1 0.2500 0.2500 0.2500 1
Tc1 0.0000 0.0000 0.0000 1
```

ρ (g cm⁻³): 5.430
Raw formation energy (eV/f.u.): 0.05
Raw total energy (eV per atom): -7.06
Energy relative to the lowest polymorph listed for this composition (eV/atom): 0.408

Entry 9:
First-principles (PBE) data for crystalline TbSm6Dy8 at its relaxed geometry, as listed in Alexandria via LeMat-Bulk.

```
data_TbSm6Dy8
_symmetry_space_group_name_H-M 'R -3'
_symmetry_Int_Tables_number 148
_symmetry_space_group_name_Hall '-R 3'
_cell_length_a 9.0919
_cell_length_b 9.0919
_cell_length_c 20.7188
_cell_angle_alpha 90.00
_cell_angle_beta 90.00
_cell_angle_gamma 120.00
loop_
_atom_site_label
_atom_site_fract_x
_atom_site_fract_y
_atom_site_fract_z
_atom_site_occupancy
Tb1 0.0000 0.0000 0.0000 1
Sm1 0.0621 0.8144 0.7089 1
Dy1 0.0000 0.0000 0.4233 1
Dy2 0.0810 0.5277 0.8076 1
```

ρ (g cm⁻³): 7.930
E_form (meV/atom): 123
Raw total energy (eV per atom): -4.53
Energy relative to the lowest polymorph listed for this composition (eV/atom): 0.000

Entry 10:
First-principles (PBE) data for crystalline Hf2MgHg at its relaxed geometry, as listed in Alexandria via LeMat-Bulk.

```
data_Hf2MgHg
_symmetry_space_group_name_H-M 'F m -3 m'
_symmetry_Int_Tables_number 225
_symmetry_space_group_name_Hall '-F 4 2 3'
_cell_length_a 6.9613
_cell_length_b 6.9613
_cell_length_c 6.9613
_cell_angle_alpha 90.00
_cell_angle_beta 90.00
_cell_angle_gamma 90.00
loop_
_atom_site_label
_atom_site_fract_x
_atom_site_fract_y
_atom_site_fract_z
_atom_site_occupancy
Hf1 0.2500 0.2500 0.2500 1
Mg1 0.0000 0.0000 0.0000 1
Hg1 0.0000 0.0000 0.5000 1
```

ρ (g cm⁻³): 11.457
E_form (meV/atom): 126
Raw total energy (eV per atom): -5.33
Energy relative to the lowest polymorph listed for this composition (eV/atom): 0.217

Entry 11:
First-principles (PBE) data for crystalline Rb2Cd12Hg7 at its relaxed geometry, as listed in Alexandria via LeMat-Bulk.

```
data_Rb2Cd12Hg7
_symmetry_space_group_name_H-M 'P -3'
_symmetry_Int_Tables_number 147
_symmetry_space_group_name_Hall '-P 3'
_cell_length_a 11.7588
_cell_length_b 11.7588
_cell_length_c 4.7751
_cell_angle_alpha 90.00
_cell_angle_beta 90.00
_cell_angle_gamma 120.00
loop_
_atom_site_label
_atom_site_fract_x
_atom_site_fract_y
_atom_site_fract_z
_atom_site_occupancy
Rb1 0.3333 0.6667 0.2307 1
Cd1 0.0456 0.4341 0.7679 1
Cd2 0.1170 0.2534 0.2001 1
Hg1 0.0000 0.0000 0.5000 1
Hg2 0.1257 0.7192 0.7100 1
```

ρ (g cm⁻³): 8.492
E_form (meV/atom): -58
Raw total energy (eV per atom): -0.77